1.
A plane-wave DFT calculation with PBE-GGA was carried out for CaTl2S2 after structural relaxation.

```
5
Lattice="-2.7801 2.7801 4.5803 2.7801 -2.7801 4.5803 2.7801 2.7801 -4.5803" Properties=species:S:1:pos:R:3 pbc="T T T"
Ca 0.0000 0.0000 0.0000
Tl 0.0000 0.0000 3.1242
Tl 0.0000 0.0000 6.0363
S 2.7801 0.0000 2.2901
S 0.0000 2.7801 2.2901
```

Calculated values
Crystal system   tetragonal
Space group   No. 139
Offset from the most stable computed form   1.49 eV/f.u.

---

2.
A plane-wave DFT calculation with PBE-GGA was carried out for CaTl3S after structural relaxation.

```
5
Lattice="5.9182 0.0000 0.0000 0.0000 5.9182 0.0000 0.0000 0.0000 5.9182" Properties=species:S:1:pos:R:3 pbc="T T T"
Ca 0.0000 0.0000 0.0000
Tl 0.0000 0.0000 2.9591
Tl 0.0000 2.9591 0.0000
Tl 2.9591 0.0000 0.0000
S 2.9591 2.9591 2.9591
```

Calculated values
Crystal system   cubic
Space group   No. 221
Offset from the most stable computed form   2.67 eV/f.u.

---

3.
A plane-wave DFT calculation with PBE-GGA was carried out for Ca3TlS after structural relaxation.

```
5
Lattice="5.8012 0.0000 0.0000 0.0000 5.8012 0.0000 0.0000 0.0000 5.8012" Properties=species:S:1:pos:R:3 pbc="T T T"
Ca 0.0000 0.0000 2.9006
Ca 0.0000 2.9006 0.0000
Ca 2.9006 0.0000 0.0000
Tl 0.0000 0.0000 0.0000
S 2.9006 2.9006 2.9006
```

Calculated values
Crystal system   cubic
Space group   No. 221
Offset from the most stable computed form   4.00 eV/f.u.

---

4.
A plane-wave DFT calculation with PBE-GGA was carried out for CaTlS3 after structural relaxation.

```
5
Lattice="5.3795 0.0000 0.0000 0.0000 5.3795 0.0000 0.0000 0.0000 5.3795" Properties=species:S:1:pos:R:3 pbc="T T T"
Ca 0.0000 0.0000 0.0000
Tl 2.6898 2.6898 2.6898
S 0.0000 0.0000 2.6898
S 0.0000 2.6898 0.0000
S 2.6898 0.0000 0.0000
```

Calculated values
Crystal system   cubic
Space group   No. 221
Offset from the most stable computed form   0.17 eV/f.u.

---

5.
A plane-wave DFT calculation with PBE-GGA was carried out for CaTl2S2 after structural relaxation.

```
5
Lattice="-2.0778 2.0778 7.8282 2.0778 -2.0778 7.8282 2.0778 2.0778 -7.8282" Properties=species:S:1:pos:R:3 pbc="T T T"
Ca 0.0000 0.0000 0.0000
Tl 2.0778 0.0000 3.9141
Tl 0.0000 2.0778 3.9141
S 0.0000 0.0000 6.4875
S 0.0000 0.0000 9.1689
```

Calculated values
Crystal system   tetragonal
Space group   No. 139
Offset from the most stable computed form   0.82 eV/f.u.

---

6.
A plane-wave DFT calculation with PBE-GGA was carried out for CaTl3S after structural relaxation.

```
5
Lattice="5.6324 0.0000 0.0000 0.0000 5.6324 0.0000 0.0000 0.0000 5.6324" Properties=species:S:1:pos:R:3 pbc="T T T"
Ca 0.0000 0.0000 0.0000
Tl 0.0000 2.8162 2.8162
Tl 2.8162 0.0000 2.8162
Tl 2.8162 2.8162 0.0000
S 2.8162 2.8162 2.8162
```

Calculated values
Crystal system   cubic
Space group   No. 221
Offset from the most stable computed form   0.00 eV/f.u.